The following is a DFT calculation (PBE) of AuS6F2 after structural relaxation.

a = 10.9373 Å, b = 5.6891 Å, c = 10.9373 Å
α = 59.49°, β = 85.34°, γ = 59.49°
Each line ends with the local moment (μB).
Fractional coordinates of all 18 atoms:
Au (0.8744, 0.7500, 0.1256)  0.05
Au (0.1256, 0.2500, 0.8744)  0.05
S (0.4688, 0.5122, 0.5980)  0.00
S (0.4020, 0.9878, 0.5312)  0.00
S (0.5312, 0.4878, 0.4020)  0.00
S (0.5980, 0.0122, 0.4688)  0.00
S (0.0284, 0.0391, 0.5755)  0.15
S (0.4245, 0.4609, 0.9716)  0.15
S (0.9716, 0.9609, 0.4245)  0.15
S (0.5755, 0.5391, 0.0284)  0.15
S (0.2391, 0.6924, 0.0219)  0.08
S (0.9781, 0.8076, 0.7609)  0.08
S (0.7609, 0.3076, 0.9781)  0.08
S (0.0219, 0.1924, 0.2391)  0.08
F (0.4064, 0.8919, 0.2857)  0.00
F (0.7143, 0.6081, 0.5936)  0.00
F (0.5936, 0.1081, 0.7143)  0.00
F (0.2857, 0.3919, 0.4064)  0.00

Summary:
SG: C2/c, No. 15
Formation energy without anion corrections in eV per atom: -0.20
Crystal system: monoclinic



The following is a DFT calculation (PBE) of KSrTe2 after structural relaxation.

a = 5.8151 Å, b = 5.8151 Å, c = 5.8151 Å
α = 60.00°, β = 60.00°, γ = 60.00°
Fractional coordinates of all 4 atoms:
K (0.5000, 0.5000, 0.5000)
Sr (0.7500, 0.7500, 0.7500)
Te (0.0000, 0.0000, 0.0000)
Te (0.2500, 0.2500, 0.2500)

Summary:
SG: F-43m, No. 216
Formation energy without anion corrections in eV per atom: -0.61
Crystal system: cubic



The following is a DFT calculation (PBE) of Ca3PrAs3 after structural relaxation.

a = 9.0456 Å, b = 9.0456 Å, c = 9.0456 Å
α = 90.00°, β = 90.00°, γ = 90.00°
Fractional coordinates of all 28 atoms:
Ca (0.8150, 0.3150, 0.1850)
Ca (0.9356, 0.9356, 0.9356)
Ca (0.8194, 0.6806, 0.3194)
Ca (0.1850, 0.8150, 0.3150)
Ca (0.1806, 0.1806, 0.1806)
Ca (0.3194, 0.8194, 0.6806)
Ca (0.0644, 0.4356, 0.5644)
Ca (0.3150, 0.1850, 0.8150)
Ca (0.6806, 0.3194, 0.8194)
Ca (0.6850, 0.6850, 0.6850)
Ca (0.5644, 0.0644, 0.4356)
Ca (0.4356, 0.5644, 0.0644)
Pr (0.0635, 0.5635, 0.9365)
Pr (0.9365, 0.0635, 0.5635)
Pr (0.4365, 0.4365, 0.4365)
Pr (0.5635, 0.9365, 0.0635)
As (0.7504, 0.6280, 0.0004)
As (0.8720, 0.9996, 0.2504)
As (0.0004, 0.7504, 0.6280)
As (0.1280, 0.4996, 0.2496)
As (0.2496, 0.1280, 0.4996)
As (0.2504, 0.8720, 0.9996)
As (0.9996, 0.2504, 0.8720)
As (0.3720, 0.5004, 0.7496)
As (0.4996, 0.2496, 0.1280)
As (0.6280, 0.0004, 0.7504)
As (0.7496, 0.3720, 0.5004)
As (0.5004, 0.7496, 0.3720)

Summary:
SG: P2_13, No. 198
Crystal system: cubic
Final energy in eV per atom: -4.79



The following is a DFT calculation (PBE) of SnTeF2 after structural relaxation.

a = 6.8896 Å, b = 6.8896 Å, c = 7.2269 Å
α = 61.53°, β = 61.53°, γ = 90.00°
Each line ends with the local moment (μB).
Fractional coordinates of all 8 atoms:
Te (0.0000, 0.0000, 0.0000)  0.90
Te (0.7500, 0.2500, 0.5000)  0.90
Sn (0.5000, 0.5000, 0.0000)  0.03
Sn (0.2500, 0.7500, 0.5000)  0.03
F (0.4100, 0.1250, 0.2500)  0.02
F (0.3400, 0.6250, 0.2500)  0.02
F (0.3750, 0.5900, 0.7500)  0.02
F (0.8750, 0.6600, 0.7500)  0.02

Summary:
SG: I-42d, No. 122
Formation energy without anion corrections in eV per atom: -1.10
Crystal system: tetragonal



The following is a DFT calculation (PBE) of AcHfPa2 after structural relaxation.

a = 3.2771 Å, b = 3.2771 Å, c = 12.2185 Å
α = 82.29°, β = 82.29°, γ = 60.00°
Fractional coordinates of all 4 atoms:
Ac (0.0000, 0.0000, 0.0000)
Pa (0.0921, 0.0921, 0.7238)
Pa (0.9079, 0.9079, 0.2762)
Hf (0.5000, 0.5000, 0.5000)

Summary:
SG: R-3m, No. 166
Crystal system: trigonal
Final energy in eV per atom: -7.82



The following is a DFT calculation (PBE) of Pm6Y3Cd after structural relaxation.

a = 5.1316 Å, b = 11.1136 Å, c = 11.4176 Å
α = 92.16°, β = 90.00°, γ = 90.00°
Fractional coordinates of all 20 atoms:
Pm (0.2500, 0.4493, 0.1020)
Pm (0.7500, 0.5507, 0.8980)
Pm (0.2500, 0.1539, 0.1881)
Pm (0.7500, 0.8461, 0.8119)
Pm (0.2500, 0.6545, 0.7026)
Pm (0.7500, 0.3455, 0.2974)
Pm (0.2500, 0.2343, 0.4922)
Pm (0.7500, 0.7657, 0.5078)
Pm (0.2500, 0.8636, 0.3172)
Pm (0.7500, 0.1364, 0.6828)
Pm (0.2500, 0.0451, 0.8933)
Pm (0.7500, 0.9549, 0.1067)
Y (0.2500, 0.5512, 0.4015)
Y (0.7500, 0.4488, 0.5985)
Y (0.2500, 0.3471, 0.7914)
Y (0.7500, 0.6529, 0.2086)
Y (0.2500, 0.7524, 0.0096)
Y (0.7500, 0.2476, 0.9904)
Cd (0.2500, 0.9473, 0.6077)
Cd (0.7500, 0.0527, 0.3923)

Summary:
SG: P2_1/m, No. 11
Crystal system: monoclinic
Final energy in eV per atom: -4.90



The following is a DFT calculation (PBE) of CaTlRu after structural relaxation.

a = 4.7074 Å, b = 4.7074 Å, c = 4.7074 Å
α = 60.00°, β = 60.00°, γ = 60.00°
Fractional coordinates of all 3 atoms:
Ru (0.7500, 0.7500, 0.7500)
Tl (0.0000, 0.0000, 0.0000)
Ca (0.5000, 0.5000, 0.5000)

Summary:
SG: F-43m, No. 216
Crystal system: cubic
Final energy in eV per atom: -4.24



The following is a DFT calculation (PBE) of KCa2As after structural relaxation.

a = 10.9450 Å, b = 10.9450 Å, c = 10.9450 Å
α = 23.06°, β = 23.06°, γ = 23.06°
Fractional coordinates of all 4 atoms:
As (0.6663, 0.6663, 0.6663)
Ca (0.0457, 0.0457, 0.0457)
Ca (0.2872, 0.2872, 0.2872)
K (0.5008, 0.5008, 0.5008)

Summary:
SG: R3m, No. 160
Crystal system: trigonal
Final energy in eV per atom: -3.05



The following is a DFT calculation (PBE) of ZnBrCl after structural relaxation.

a = 6.7980 Å, b = 8.4894 Å, c = 8.4479 Å
α = 90.00°, β = 130.48°, γ = 90.00°
Fractional coordinates of all 12 atoms:
Zn (0.9373, 0.1231, 0.2063)
Zn (0.4373, 0.8769, 0.7063)
Zn (0.9373, 0.6231, 0.7063)
Zn (0.4373, 0.3769, 0.2063)
Br (0.6900, 0.3671, 0.0938)
Br (0.1900, 0.6329, 0.5938)
Br (0.6900, 0.8671, 0.5938)
Br (0.1900, 0.1329, 0.0938)
Cl (0.1871, 0.6022, 0.0624)
Cl (0.6871, 0.3978, 0.5624)
Cl (0.1871, 0.1022, 0.5624)
Cl (0.6871, 0.8978, 0.0624)

Summary:
SG: Cc, No. 9
Formation energy without anion corrections in eV per atom: -1.01
Crystal system: monoclinic



The following is a DFT calculation (PBE) of KRb2TaCd after structural relaxation.

a = 6.7935 Å, b = 6.1053 Å, c = 6.7935 Å
α = 90.00°, β = 90.00°, γ = 90.00°
Each line ends with the local moment (μB).
Fractional coordinates of all 5 atoms:
K (0.0000, 0.0000, 0.0000)  0.00
Cd (0.0000, 0.5000, 0.0000)  0.00
Rb (0.0000, 0.0000, 0.5000)  0.01
Rb (0.5000, 0.0000, 0.0000)  0.02
Ta (0.5000, 0.5000, 0.5000)  2.34

Summary:
SG: P4/mmm, No. 123
Crystal system: tetragonal
Final energy in eV per atom: -1.56



The following is a DFT calculation (PBE) of Ba2HgRuO6 after structural relaxation.

a = 6.0238 Å, b = 6.0244 Å, c = 6.0241 Å
α = 60.00°, β = 60.00°, γ = 90.00°
Each line ends with the local moment (μB).
Fractional coordinates of all 10 atoms:
Ba (0.7500, 0.2500, 0.5000)  0.02
Ba (0.2500, 0.7500, 0.5000)  0.02
Hg (0.0000, 0.0000, 0.0000)  0.00
Ru (0.5000, 0.5000, 0.0000)  1.27
O (0.2720, 0.2720, 0.4561)  0.08
O (0.7284, 0.7276, 0.0000)  0.08
O (0.2724, 0.7284, 0.0000)  0.08
O (0.7276, 0.2716, 0.0000)  0.08
O (0.2716, 0.2724, 0.0000)  0.08
O (0.7280, 0.7280, 0.5439)  0.08

Summary:
SG: Fm-3m, No. 225
Formation energy without anion corrections in eV per atom: -1.50
Crystal system: cubic



The following is a DFT calculation (PBE) of ThAgPb after structural relaxation.

a = 3.6286 Å, b = 3.6286 Å, c = 6.6191 Å
α = 105.91°, β = 105.91°, γ = 90.00°
Fractional coordinates of all 3 atoms:
Pb (0.9675, 0.9675, 0.9349)
Ag (0.6127, 0.6127, 0.2254)
Th (0.2698, 0.2698, 0.5397)

Summary:
SG: I4mm, No. 107
Crystal system: tetragonal
Final energy in eV per atom: -4.74



The following is a DFT calculation (PBE) of TbPr2Dy after structural relaxation.

a = 3.6438 Å, b = 3.6438 Å, c = 10.2142 Å
α = 90.00°, β = 90.00°, γ = 90.00°
Fractional coordinates of all 4 atoms:
Pr (0.0000, 0.0000, 0.7506)
Pr (0.0000, 0.0000, 0.2494)
Tb (0.5000, 0.5000, 0.5000)
Dy (0.5000, 0.5000, 0.0000)

Summary:
SG: P4/mmm, No. 123
Crystal system: tetragonal
Final energy in eV per atom: -4.68



The following is a DFT calculation (PBE) of Tc2AsAu after structural relaxation.

a = 2.9746 Å, b = 4.6720 Å, c = 4.6234 Å
α = 90.00°, β = 90.00°, γ = 90.00°
Fractional coordinates of all 4 atoms:
As (0.5000, 0.0000, 0.5000)
Au (0.0000, 0.5000, 0.5000)
Tc (0.0000, 0.0000, 0.0000)
Tc (0.5000, 0.5000, 0.0000)

Summary:
SG: Pmmm, No. 47
Crystal system: orthorhombic
Final energy in eV per atom: -6.65



The following is a DFT calculation (PBE) of Li2Dy3Hg2 after structural relaxation.

a = 3.6025 Å, b = 4.8732 Å, c = 10.1684 Å
α = 103.86°, β = 100.20°, γ = 90.00°
Fractional coordinates of all 7 atoms:
Li (0.5670, 0.5670, 0.1340)
Li (0.4330, 0.4330, 0.8660)
Dy (0.0000, 0.0000, 0.0000)
Dy (0.1990, 0.6990, 0.3980)
Dy (0.8010, 0.3010, 0.6020)
Hg (0.6370, 0.1370, 0.2741)
Hg (0.3630, 0.8630, 0.7259)

Summary:
SG: Immm, No. 71
Crystal system: orthorhombic
Final energy in eV per atom: -2.83



The following is a DFT calculation (PBE) of Y2TlHg after structural relaxation.

a = 3.7604 Å, b = 3.7604 Å, c = 9.6941 Å
α = 78.73°, β = 78.73°, γ = 59.99°
Fractional coordinates of all 4 atoms:
Y (0.0798, 0.0798, 0.7607)
Y (0.2532, 0.2532, 0.2404)
Tl (0.5001, 0.5001, 0.4998)
Hg (0.6669, 0.6669, 0.9991)

Summary:
SG: Cm, No. 8
Crystal system: monoclinic
Final energy in eV per atom: -4.20



The following is a DFT calculation (PBE) of MnBe2Rh2 after structural relaxation.

a = 6.2811 Å, b = 6.2811 Å, c = 2.7640 Å
α = 90.00°, β = 90.00°, γ = 90.00°
Fractional coordinates of all 10 atoms:
Be (0.3739, 0.8739, 0.0000)
Be (0.8739, 0.6261, 0.0000)
Be (0.6261, 0.1261, 0.0000)
Be (0.1261, 0.3739, 0.0000)
Mn (0.0000, 0.0000, 0.0000)
Mn (0.5000, 0.5000, 0.0000)
Rh (0.1707, 0.6707, 0.5000)
Rh (0.6707, 0.8293, 0.5000)
Rh (0.8293, 0.3293, 0.5000)
Rh (0.3293, 0.1707, 0.5000)

Summary:
SG: P4/mbm, No. 127
Crystal system: tetragonal
Final energy in eV per atom: -6.55



The following is a DFT calculation (PBE) of LaThFeN3 after structural relaxation.

a = 3.5577 Å, b = 7.4463 Å, c = 7.5253 Å
α = 96.06°, β = 90.00°, γ = 90.00°
Fractional coordinates of all 12 atoms:
La (0.7500, 0.8489, 0.8201)
La (0.2500, 0.1511, 0.1799)
Th (0.2500, 0.6394, 0.1822)
Th (0.7500, 0.3606, 0.8178)
Fe (0.2500, 0.0671, 0.5944)
Fe (0.7500, 0.9329, 0.4056)
N (0.2500, 0.8488, 0.4598)
N (0.7500, 0.8711, 0.1485)
N (0.7500, 0.4055, 0.1364)
N (0.7500, 0.1512, 0.5402)
N (0.2500, 0.5945, 0.8636)
N (0.2500, 0.1289, 0.8515)

Summary:
SG: P2_1/m, No. 11
Formation energy without anion corrections in eV per atom: -1.05
Crystal system: monoclinic



The following is a DFT calculation (PBE) of UPaTiSb after structural relaxation.

a = 5.0063 Å, b = 5.0063 Å, c = 5.0063 Å
α = 60.00°, β = 60.00°, γ = 60.00°
Each line ends with the local moment (μB).
Fractional coordinates of all 4 atoms:
Sb (0.5000, 0.5000, 0.5000)  -0.02
Pa (0.7500, 0.7500, 0.7500)  0.88
U (0.0000, 0.0000, 0.0000)  2.38
Ti (0.2500, 0.2500, 0.2500)  0.18

Summary:
SG: F-43m, No. 216
Formation energy without anion corrections in eV per atom: 0.16
Crystal system: cubic



The following is a DFT calculation (PBE) of Ac5InPb2 after structural relaxation.

a = 5.4852 Å, b = 6.9168 Å, c = 18.2588 Å
α = 90.00°, β = 90.00°, γ = 113.36°
Fractional coordinates of all 16 atoms:
Ac (0.8940, 0.7880, 0.8770)
Ac (0.8940, 0.7880, 0.6230)
Ac (0.4080, 0.8160, 0.4148)
Ac (0.4080, 0.8160, 0.0852)
Ac (0.8205, 0.6410, 0.2500)
Ac (0.1795, 0.3590, 0.7500)
Ac (0.5920, 0.1840, 0.5852)
Ac (0.5920, 0.1840, 0.9148)
Ac (0.1060, 0.2120, 0.1230)
Ac (0.1060, 0.2120, 0.3770)
In (0.4673, 0.9346, 0.7500)
In (0.5327, 0.0654, 0.2500)
Pb (0.7504, 0.5007, 0.4314)
Pb (0.7504, 0.5007, 0.0686)
Pb (0.2496, 0.4993, 0.5686)
Pb (0.2496, 0.4993, 0.9314)

Summary:
SG: Cmcm, No. 63
Crystal system: orthorhombic
Final energy in eV per atom: -4.10



Number 1: magnetic moment 1.62 μB/cell. Number 2: magnetic moment 0.00 μB/cell. Number 3: magnetic moment 0.00 μB/cell. Number 4: magnetic moment 3.64 μB/cell. Number 5: magnetic moment 0.00 μB/cell. Number 6: magnetic moment 0.00 μB/cell. Number 7: magnetic moment 0.00 μB/cell. Number 8: magnetic moment 0.70 μB/cell. Number 9: magnetic moment 0.00 μB/cell. Number 10: magnetic moment 4.32 μB/cell. Number 11: magnetic moment 2.00 μB/cell. Number 12: magnetic moment 0.00 μB/cell. Number 13: magnetic moment 0.00 μB/cell. Number 14: magnetic moment 0.00 μB/cell. Number 15: magnetic moment 0.00 μB/cell. Number 16: magnetic moment 0.00 μB/cell. Number 17: magnetic moment 0.00 μB/cell. Number 18: magnetic moment 0.00 μB/cell. Number 19: magnetic moment 3.88 μB/cell. Number 20: magnetic moment 0.00 μB/cell.